Entry 1:
The following is a DFT calculation (SCAN) of a crystal of KTl3B relaxed with PBEsol. Values from VASP.

Quantum ESPRESSO input file:
```
&SYSTEM
  ibrav = 0, nat = 5, ntyp = 3
/
ATOMIC_SPECIES
Tl 204.38 Tl.upf
B 10.81 B.upf
K 39.10 K.upf
ATOMIC_POSITIONS crystal
Tl 0.000 0.500 0.000
Tl 0.000 0.000 0.500
Tl 0.500 0.000 0.000
B 0.000 0.000 0.000
K 0.500 0.500 0.500
CELL_PARAMETERS angstrom
-0.255 -0.847 5.033
5.103 0.062 0.268
-0.105 5.039 0.843
```

- DFT formation energy (eV/f.u.) = 2.48

***

Entry 2:
The following is a DFT calculation (SCAN) of a crystal of KZn3B relaxed with PBEsol. Values from VASP.

Quantum ESPRESSO input file:
```
&SYSTEM
  ibrav = 0, nat = 5, ntyp = 3
/
ATOMIC_SPECIES
Zn 65.41 Zn.upf
B 10.81 B.upf
K 39.10 K.upf
ATOMIC_POSITIONS crystal
Zn 0.000 0.500 0.000
Zn 0.000 0.000 0.500
Zn 0.500 0.000 0.000
B 0.500 0.500 0.500
K 0.000 0.000 0.000
CELL_PARAMETERS angstrom
5.874 0.000 0.000
0.000 5.874 0.000
0.000 0.000 5.874
```

- DFT formation energy (eV/f.u.) = 9.78

***

Entry 3:
The following is a DFT calculation (SCAN) of a crystal of K2ZrB relaxed with PBEsol. Values from VASP.

Quantum ESPRESSO input file:
```
&SYSTEM
  ibrav = 0, nat = 8, ntyp = 3
/
ATOMIC_SPECIES
K 39.10 K.upf
B 10.81 B.upf
Zr 91.22 Zr.upf
ATOMIC_POSITIONS crystal
K 0.299 0.826 0.326
K 0.451 0.174 0.674
K 0.375 0.326 0.174
K 0.875 0.674 0.826
B 0.250 0.500 0.500
B 0.500 0.000 0.000
Zr 0.750 0.500 0.500
Zr 0.000 0.000 0.000
CELL_PARAMETERS angstrom
-1.520 0.681 -4.017
-8.129 -3.942 0.055
-4.393 7.868 0.642
```

- DFT formation energy (eV/f.u.) = 4.04

***

Entry 4:
The following is a DFT calculation (SCAN) of a crystal of LaB4 relaxed with PBEsol. Values from VASP.

Quantum ESPRESSO input file:
```
&SYSTEM
  ibrav = 0, nat = 20, ntyp = 2
/
ATOMIC_SPECIES
La 138.91 La.upf
B 10.81 B.upf
ATOMIC_POSITIONS crystal
La 0.000 0.184 0.684
La 0.000 0.684 0.816
La 0.000 0.316 0.184
La 0.000 0.816 0.316
B 0.500 0.326 0.461
B 0.500 0.674 0.539
B 0.500 0.539 0.326
B 0.500 0.461 0.674
B 0.206 0.000 0.000
B 0.794 0.500 0.500
B 0.794 0.000 0.000
B 0.206 0.500 0.500
B 0.500 0.588 0.088
B 0.500 0.088 0.412
B 0.500 0.912 0.588
B 0.500 0.412 0.912
B 0.500 0.039 0.174
B 0.500 0.174 0.961
B 0.500 0.826 0.039
B 0.500 0.961 0.826
CELL_PARAMETERS angstrom
-3.322 1.105 2.232
-0.577 -6.796 2.507
4.321 1.695 5.591
```

- DFT formation energy (eV/f.u.) = -3.14

***

Entry 5:
The following is a DFT calculation (SCAN) of a crystal of LaB6 relaxed with PBEsol. Values from VASP.

Quantum ESPRESSO input file:
```
&SYSTEM
  ibrav = 0, nat = 7, ntyp = 2
/
ATOMIC_SPECIES
B 10.81 B.upf
La 138.91 La.upf
ATOMIC_POSITIONS crystal
B 0.800 0.500 0.500
B 0.200 0.500 0.500
B 0.500 0.500 0.800
B 0.500 0.500 0.200
B 0.500 0.200 0.500
B 0.500 0.800 0.500
La 0.000 0.000 0.000
CELL_PARAMETERS angstrom
-2.891 -2.005 -2.166
2.949 -2.096 -1.996
-0.130 -2.943 2.897
```

- DFT formation energy (eV/f.u.) = -4.43

***

Entry 6:
The following is a DFT calculation (SCAN) of a crystal of LaMg3B relaxed with PBEsol. Values from VASP.

Quantum ESPRESSO input file:
```
&SYSTEM
  ibrav = 0, nat = 5, ntyp = 3
/
ATOMIC_SPECIES
Mg 24.30 Mg.upf
B 10.81 B.upf
La 138.91 La.upf
ATOMIC_POSITIONS crystal
Mg 0.000 0.500 0.000
Mg 0.000 0.000 0.500
Mg 0.500 0.000 0.000
B 0.000 0.000 0.000
La 0.500 0.500 0.500
CELL_PARAMETERS angstrom
-2.674 -3.798 1.063
3.806 -2.822 -0.509
1.036 0.564 4.617
```

- DFT formation energy (eV/f.u.) = 1.17

***

Entry 7:
The following is a DFT calculation (SCAN) of a crystal of LaMgB5O10 relaxed with PBEsol. Values from VASP.

Quantum ESPRESSO input file:
```
&SYSTEM
  ibrav = 0, nat = 68, ntyp = 4
/
ATOMIC_SPECIES
La 138.91 La.upf
Mg 24.30 Mg.upf
B 10.81 B.upf
O 16.00 O.upf
ATOMIC_POSITIONS crystal
La 0.188 0.817 0.765
La 0.688 0.683 0.735
La 0.812 0.183 0.235
La 0.312 0.317 0.265
Mg 0.412 0.392 0.878
Mg 0.912 0.108 0.622
Mg 0.588 0.608 0.122
Mg 0.088 0.892 0.378
B 0.671 0.486 0.389
B 0.814 0.429 0.915
B 0.467 0.718 0.448
B 0.314 0.071 0.585
B 0.967 0.782 0.052
B 0.917 0.587 0.231
B 0.171 0.014 0.111
B 0.329 0.514 0.611
B 0.083 0.413 0.769
B 0.417 0.913 0.269
B 0.533 0.282 0.552
B 0.905 0.650 0.492
B 0.829 0.986 0.889
B 0.095 0.350 0.508
B 0.595 0.150 0.992
B 0.186 0.571 0.085
B 0.405 0.850 0.008
B 0.686 0.929 0.415
B 0.033 0.218 0.948
B 0.583 0.087 0.731
O 0.421 0.009 0.685
O 0.477 0.413 0.646
O 0.523 0.587 0.354
O 0.778 0.539 0.509
O 0.037 0.270 0.392
O 0.921 0.491 0.815
O 0.778 0.474 0.258
O 0.372 0.191 0.510
O 0.651 0.495 0.930
O 0.104 0.169 0.087
O 0.977 0.087 0.854
O 0.278 0.026 0.242
O 0.896 0.831 0.913
O 0.349 0.505 0.070
O 0.604 0.331 0.413
O 0.222 0.461 0.491
O 0.849 0.995 0.430
O 0.345 0.815 0.376
O 0.023 0.913 0.146
O 0.722 0.039 0.009
O 0.151 0.005 0.570
O 0.537 0.182 0.859
O 0.845 0.685 0.124
O 0.655 0.185 0.624
O 0.222 0.526 0.742
O 0.396 0.669 0.587
O 0.037 0.318 0.641
O 0.155 0.315 0.876
O 0.872 0.309 0.990
O 0.278 0.961 0.991
O 0.128 0.691 0.010
O 0.463 0.818 0.141
O 0.722 0.974 0.758
O 0.579 0.991 0.315
O 0.537 0.230 0.108
O 0.628 0.809 0.490
O 0.463 0.770 0.892
O 0.963 0.730 0.608
O 0.963 0.682 0.359
O 0.079 0.509 0.185
CELL_PARAMETERS angstrom
7.622 0.000 0.000
0.000 8.778 -0.021
0.000 -0.383 9.466
```

- formation energy without anion corrections (meV per atom) = -2960

***

Entry 8:
The following is a DFT calculation (SCAN) of a crystal of LaMg2BRh relaxed with PBEsol. Values from VASP.

Quantum ESPRESSO input file:
```
&SYSTEM
  ibrav = 0, nat = 5, ntyp = 4
/
ATOMIC_SPECIES
Mg 24.30 Mg.upf
B 10.81 B.upf
Rh 102.91 Rh.upf
La 138.91 La.upf
ATOMIC_POSITIONS crystal
Mg 0.000 0.500 0.000
Mg 0.500 0.000 0.000
B 0.500 0.500 0.500
Rh 0.000 0.000 0.000
La 0.000 0.000 0.500
CELL_PARAMETERS angstrom
4.845 0.000 0.000
0.000 4.845 0.000
0.000 0.000 5.283
```

- DFT formation energy (eV/f.u.) = 2.09

***

Total DFT energy (no corrections) (computed, eV per atom): -46.071 -9.304 -12.687 -15.192 -13.159 -12.856 -11.638 -18.432